Entry 1:
An optimized crystal structure of HfGaCo2. Source: the Alexandria database, functional PBE.

a b c (Å): 6.596 6.596 5.426
angles (deg): 52.57 52.57 90.00
Element x y z (fractional)
Co 0.604 0.125 0.250
Co 0.146 0.625 0.250
Co 0.375 0.396 0.750
Co 0.875 0.854 0.750
Hf 0.000 0.000 0.000
Hf 0.750 0.250 0.500
Ga 0.500 0.500 0.000
Ga 0.250 0.750 0.500

formation energy from the elements = 0.1299 eV/atom

***

Entry 2:
An optimized crystal structure of TaCd2Fe. Source: the Alexandria database, functional PBE.

a b c (Å): 5.269 5.269 5.269
angles (deg): 135.70 135.70 64.44
Each line ends with the local moment (μB).
Element x y z (fractional)
Cd 0.000 0.000 0.000  -0.03
Cd 0.500 0.500 0.000  -0.03
Fe 0.250 0.750 0.500  2.20
Ta 0.750 0.250 0.500  -0.39

formation energy from the elements = 0.4999 eV/atom

***

Entry 3:
An optimized crystal structure of LaInAsO. Source: the Alexandria database, functional PBE.

a b c (Å): 4.294 4.294 9.905
angles (deg): 90.00 90.00 90.00
Element x y z (fractional)
La 0.500 0.000 0.613
La 0.000 0.500 0.387
In 0.500 0.500 0.000
In 0.000 0.000 0.000
As 0.000 0.500 0.793
As 0.500 0.000 0.207
O 0.000 0.000 0.500
O 0.500 0.500 0.500

uncorrected formation energy = -1584 meV per atom

***

Entry 4:
An optimized crystal structure of BeAsRh. Source: the Alexandria database, functional PBE.

a b c (Å): 3.990 3.990 3.990
angles (deg): 60.00 60.00 60.00
Element x y z (fractional)
Be 0.500 0.500 0.500
As 0.000 0.000 0.000
Rh 0.750 0.750 0.750

formation energy from the elements = -0.2022 eV/atom

***

Entry 5:
An optimized crystal structure of Ac3Si2Ge6. Source: the Alexandria database, functional PBE.

a b c (Å): 4.417 4.417 14.779
angles (deg): 98.59 98.59 90.00
Element x y z (fractional)
Ac 0.000 0.000 0.000
Ac 0.825 0.825 0.650
Ac 0.175 0.175 0.350
Si 0.366 0.366 0.732
Si 0.634 0.634 0.268
Ge 0.084 0.584 0.168
Ge 0.584 0.084 0.168
Ge 0.916 0.416 0.832
Ge 0.416 0.916 0.832
Ge 0.715 0.715 0.431
Ge 0.285 0.285 0.569

uncorrected formation energy = -373 meV per atom

***

Entry 6:
An optimized crystal structure of Ce2HoTiN5. Source: the Alexandria database, functional PBE.

a b c (Å): 3.494 6.992 11.094
angles (deg): 90.00 90.00 104.47
Element x y z (fractional)
Ce 0.868 0.736 0.745
Ce 0.127 0.254 0.707
Ce 0.132 0.264 0.245
Ce 0.873 0.746 0.207
Ho 0.771 0.542 0.486
Ho 0.229 0.458 0.986
Ti 0.504 0.008 0.983
Ti 0.496 0.992 0.483
N 0.383 0.767 0.069
N 0.713 0.427 0.842
N 0.470 0.940 0.813
N 0.282 0.564 0.641
N 0.943 0.886 0.538
N 0.617 0.233 0.569
N 0.287 0.573 0.342
N 0.530 0.060 0.313
N 0.718 0.436 0.141
N 0.057 0.114 0.038

uncorrected formation energy = -1425 meV per atom